[1]
{
  "formula": "Nd5NiAg4",
  "functional": "PBE-GGA",
  "state": "optimized geometry",
  "cell": [[3.6616, 0.0000, 0.0000], [0.0000, 3.6616, 0.0000], [0.0000, 0.0000, 19.0202]],
  "species": ["Nd", "Nd", "Nd", "Nd", "Nd", "Ni", "Ag", "Ag", "Ag", "Ag"],
  "frac_coords": [[0.0000, 0.0000, 0.0000], [0.0000, 0.0000, 0.2058], [0.0000, 0.0000, 0.4126], [0.0000, 0.0000, 0.5874], [0.0000, 0.0000, 0.7942], [0.5000, 0.5000, 0.5000], [0.5000, 0.5000, 0.1028], [0.5000, 0.5000, 0.3074], [0.5000, 0.5000, 0.6926], [0.5000, 0.5000, 0.8972]],
  "dos_ef_per_ev_cell": 9.4,
  "total_magnetization_mub_per_cell": 0.0,
  "delta_e_f_ev_per_atom": -0.24,
  "final_energy_ev_per_atom": -4.347
}

[2]
{
  "formula": "Nd3Ni2Ag4",
  "functional": "PBE-GGA",
  "state": "optimized geometry",
  "cell": [[5.7653, -2.1057, 0.0000], [5.7653, 2.1057, 0.0000], [-4.2002, 0.0000, 8.2580]],
  "species": ["Nd", "Nd", "Nd", "Ni", "Ni", "Ag", "Ag", "Ag", "Ag"],
  "frac_coords": [[0.0000, 0.0000, 0.0000], [0.3110, 0.3110, 0.3727], [0.6890, 0.6890, 0.6273], [0.3919, 0.3919, 0.7342], [0.6081, 0.6081, 0.2658], [0.0131, 0.0131, 0.3506], [0.2661, 0.2661, 0.9137], [0.7339, 0.7339, 0.0863], [0.9869, 0.9869, 0.6494]],
  "dos_ef_per_ev_cell": 5.0,
  "total_magnetization_mub_per_cell": 0.0,
  "delta_e_f_ev_per_atom": -0.23,
  "final_energy_ev_per_atom": -4.371
}